Record 1
The following is a PBE calculation of crystalline SrCuIrW at its relaxed geometry, from the Open Quantum Materials Database.

Structure (extended XYZ):
```
4
Lattice="3.9115 -2.1095 1.5038 -0.2704 -3.4992 3.1135 0.9513 -4.3986 -1.3261" Properties=species:S:1:pos:R:3 pbc="T T T"
Ir 1.1481 -2.5018 0.8228
Sr 2.2962 -5.0036 1.6456
Cu 3.4443 -7.5054 2.4684
W 0.0000 0.0000 0.0000
```

Properties
Its energy relative to the lowest polymorph listed for this composition is 48.0 meV per atom.

---

Record 2
The following is a PBE calculation of crystalline ThZn at its relaxed geometry, from the Open Quantum Materials Database.

Structure (extended XYZ):
```
12
Lattice="-2.4136 -5.3347 2.5213 8.3942 -1.2377 5.4186 -1.8833 2.5009 3.4887" Properties=species:S:1:pos:R:3 pbc="T T T"
Zn 7.4433 -1.9763 5.4348
Zn 0.1053 -5.3949 3.9243
Zn 5.9928 -4.6083 6.5385
Zn -1.4149 -0.6761 2.8700
Zn 3.6260 -4.2663 8.1648
Zn 3.5339 -3.0553 4.0978
Th 0.6093 -2.7094 2.2711
Th 1.8030 -0.3718 4.3889
Th -2.3894 -3.5142 4.3784
Th 1.0692 -3.1087 5.9548
Th 2.9566 -5.9010 5.8262
Th 4.4851 -1.6836 6.7771
```

Properties
For the formation energy, the calculation gives -0.09 eV/atom.

---

What calculated total energy values result from the calculations? In sequence: -6.10 -4.43 eV per atom.